DFT (PBE with a Hubbard U) results for a relaxed structure of RbMoH2F8.

Structure (CIF):
```
data_RbMoH2F8
_symmetry_space_group_name_H-M 'P -1'
_symmetry_Int_Tables_number 2
_cell_length_a 4.991
_cell_length_b 5.058
_cell_length_c 8.113
_cell_angle_alpha 98.60
_cell_angle_beta 91.93
_cell_angle_gamma 110.06
loop_
_symmetry_equiv_pos_as_xyz
'x,y,z'
'-x,-y,-z'
loop_
_atom_site_label
_atom_site_type_symbol
_atom_site_fract_x
_atom_site_fract_y
_atom_site_fract_z
Rb1 Rb 0.000 0.000 0.000
Mo1 Mo 0.000 0.000 0.500
H1 H 0.459 0.673 0.197
F1 F 0.219 0.764 0.492
F2 F 0.223 0.205 0.338
F3 F 0.257 0.255 0.694
F4 F 0.319 0.650 0.104
```

Summary:
Electronic total energy (eV per cell): -56.80

---

DFT (PBE with a Hubbard U) results for a relaxed structure of ScMo2HF.

Structure (CIF):
```
data_ScMo2HF
_symmetry_space_group_name_H-M 'P 4/m m m'
_symmetry_Int_Tables_number 123
_symmetry_space_group_name_Hall '-P 4 2'
_cell_length_a 3.678
_cell_length_b 3.678
_cell_length_c 5.505
_cell_angle_alpha 90.00
_cell_angle_beta 90.00
_cell_angle_gamma 90.00
loop_
_atom_site_label
_atom_site_type_symbol
_atom_site_fract_x
_atom_site_fract_y
_atom_site_fract_z
Sc1 Sc 0.000 0.000 0.000
Mo1 Mo 0.000 0.500 0.500
H1 H 0.000 0.000 0.500
F1 F 0.500 0.500 0.000
```

Summary:
Electronic total energy (eV per cell): -24.01

---

DFT (PBE with a Hubbard U) results for a relaxed structure of TcMo2HF.

Structure (CIF):
```
data_TcMo2HF
_symmetry_space_group_name_H-M 'P 4/m m m'
_symmetry_Int_Tables_number 123
_symmetry_space_group_name_Hall '-P 4 2'
_cell_length_a 4.757
_cell_length_b 4.757
_cell_length_c 2.771
_cell_angle_alpha 90.00
_cell_angle_beta 90.00
_cell_angle_gamma 90.00
loop_
_atom_site_label
_atom_site_type_symbol
_atom_site_fract_x
_atom_site_fract_y
_atom_site_fract_z
Tc1 Tc 0.000 0.000 0.000
Mo1 Mo 0.000 0.500 0.500
H1 H 0.500 0.500 0.000
F1 F 0.500 0.500 0.500
```

Summary:
Electronic total energy (eV per cell): -24.46

---

Please write out number 3 again, unchanged.
DFT (PBE with a Hubbard U) results for a relaxed structure of TcMo2HF.

Structure (CIF):
```
data_TcMo2HF
_symmetry_space_group_name_H-M 'P 4/m m m'
_symmetry_Int_Tables_number 123
_symmetry_space_group_name_Hall '-P 4 2'
_cell_length_a 4.757
_cell_length_b 4.757
_cell_length_c 2.771
_cell_angle_alpha 90.00
_cell_angle_beta 90.00
_cell_angle_gamma 90.00
loop_
_atom_site_label
_atom_site_type_symbol
_atom_site_fract_x
_atom_site_fract_y
_atom_site_fract_z
Tc1 Tc 0.000 0.000 0.000
Mo1 Mo 0.000 0.500 0.500
H1 H 0.500 0.500 0.000
F1 F 0.500 0.500 0.500
```

Summary:
Electronic total energy (eV per cell): -24.46

---

The highest electronic total energy belongs to which entry?
ScMo2HF